Here is Mg4Ni5 after structural relaxation from Alexandria via LeMat-Bulk. Energies are from PBE-GGA.

Results
E above lowest polymorph   0.078 eV per atom
DOS at the Fermi energy   5.73 states/eV/f.u.
DFT formation energy   -0.01 eV per atom
SG   No. 193

abc: 7.469 7.469 5.173
angles: 90.00 90.00 120.00
Fractional positions:
Mg 0.366 0.000 0.250
Ni 0.333 0.667 0.500
Mg 0.634 0.000 0.750
Mg 0.000 0.000 0.000
Mg 0.366 0.366 0.750
Ni 0.690 0.000 0.250
Ni 0.690 0.690 0.750
Ni 0.667 0.333 0.000
Ni 0.000 0.690 0.250
Ni 0.667 0.333 0.500
Ni 0.310 0.000 0.750
Mg 0.000 0.000 0.500
Ni 0.310 0.310 0.250
Ni 0.333 0.667 0.000
Ni 0.000 0.310 0.750
Mg 0.000 0.634 0.750
Mg 0.634 0.634 0.250
Mg 0.000 0.366 0.250

---

Here is SbPb2Cl after structural relaxation from Alexandria via LeMat-Bulk. Energies are from PBE-GGA.

Results
E above lowest polymorph   0.028 eV per atom
DOS at the Fermi energy   0.02 states/eV/f.u.
Raw formation energy   -0.397 eV per atom
SG   No. 160

abc: 4.520 4.520 8.119
angles: 73.84 73.84 60.00
Fractional positions:
Pb 0.082 0.082 0.753
Cl 0.486 0.486 0.543
Pb 0.264 0.264 0.209
Sb 0.668 0.668 0.995

---

Here is KMgTl2Bi after structural relaxation from Alexandria via LeMat-Bulk. Energies are from PBE-GGA.

Results
DOS at the Fermi energy   2.88 states/eV/f.u.
DFT formation energy   -0.01 eV per atom
SG   No. 123

abc: 5.695 5.695 5.702
angles: 90.00 90.00 90.00
Fractional positions:
Tl 0.000 0.500 0.000
Mg 0.000 0.000 0.000
K 0.500 0.500 0.500
Bi 0.000 0.000 0.500
Tl 0.500 0.000 0.000

---

Here is MnS after structural relaxation from Alexandria via LeMat-Bulk. Energies are from PBE-GGA.

Results
DOS at the Fermi energy   0.18 states/eV/f.u.
Raw formation energy   -0.461 eV per atom
SG   No. 61

abc: 8.012 7.038 6.673
angles: 90.00 90.00 90.00
Fractional positions:
Mn 0.867 0.589 0.172
Mn 0.633 0.411 0.672
S 0.369 0.589 0.699
S 0.869 0.911 0.301
S 0.369 0.911 0.199
S 0.131 0.089 0.699
S 0.631 0.411 0.301
Mn 0.133 0.411 0.828
Mn 0.133 0.089 0.328
Mn 0.633 0.089 0.172
S 0.869 0.589 0.801
Mn 0.367 0.911 0.828
S 0.131 0.411 0.199
Mn 0.367 0.589 0.328
Mn 0.867 0.911 0.672
S 0.631 0.089 0.801

---

Here is KThIn2Br8 after structural relaxation from Alexandria via LeMat-Bulk. Energies are from PBE-GGA.

Results
DOS at the Fermi energy   5.99 states/eV/f.u.
Raw formation energy   -1.259 eV per atom
SG   No. 10

abc: 7.351 6.978 9.484
angles: 89.98 90.00 90.24
Fractional positions:
Br 0.356 0.288 0.500
K 0.000 0.000 0.500
Br 0.682 0.763 0.000
Br 0.150 0.764 0.783
Br 0.150 0.764 0.217
Br 0.318 0.237 0.000
Br 0.644 0.712 0.500
In 0.500 0.500 0.262
Th 0.000 0.000 0.000
In 0.500 0.500 0.738
Br 0.850 0.236 0.217
Br 0.850 0.236 0.783

---

Here is MnTcRu2 after structural relaxation from Alexandria via LeMat-Bulk. Energies are from PBE-GGA.

Results
E above lowest polymorph   0.025 eV per atom
DOS at the Fermi energy   4.84 states/eV/f.u.
DFT formation energy   0.09 eV per atom
SG   No. 6

abc: 3.762 2.698 6.007
angles: 63.22 90.00 90.00
Fractional positions:
Ru 0.500 0.249 0.251
Ru 0.000 0.011 0.988
Tc 0.000 0.494 0.506
Mn 0.500 0.745 0.755

---

Here is Ba2LaRe after structural relaxation from Alexandria via LeMat-Bulk. Energies are from PBE-GGA.

Results
E above lowest polymorph   0.099 eV per atom
DOS at the Fermi energy   4.33 states/eV/f.u.
DFT formation energy   0.60 eV per atom
SG   No. 10

abc: 4.100 8.615 8.625
angles: 36.07 90.00 90.00
Fractional positions:
Re 0.500 0.750 0.750
Ba 0.000 0.600 0.600
La 0.500 0.250 0.250
Ba 0.000 0.900 0.900

---

Here is YEr4Pd2 after structural relaxation from Alexandria via LeMat-Bulk. Energies are from PBE-GGA.

Results
E above lowest polymorph   0.083 eV per atom
DOS at the Fermi energy   8.53 states/eV/f.u.
DFT formation energy   -0.38 eV per atom
SG   No. 166

abc: 3.944 3.944 14.992
angles: 82.44 82.44 60.00
Fractional positions:
Pd 0.599 0.599 0.203
Er 0.302 0.302 0.094
Er 0.896 0.896 0.312
Er 0.104 0.104 0.688
Er 0.698 0.698 0.906
Y 0.500 0.500 0.500
Pd 0.401 0.401 0.797